Entry 1:
{
  "formula": "K8RbHg2O",
  "functional": "PBE",
  "state": "relaxed",
  "lattice_angstrom": [[7.282, 0.000, 0.000], [2.092, 7.580, 0.000], [3.277, 2.805, 11.073]],
  "species": ["K", "K", "K", "K", "K", "K", "K", "K", "Rb", "Hg", "Hg", "O"],
  "fractional_positions": [[0.124, 0.488, 0.196], [0.149, 0.111, 0.574], [0.255, 0.699, 0.866], [0.260, 0.200, 0.970], [0.740, 0.800, 0.030], [0.745, 0.301, 0.134], [0.851, 0.889, 0.426], [0.876, 0.512, 0.804], [0.500, 0.500, 0.500], [0.376, 0.978, 0.284], [0.624, 0.022, 0.716], [0.000, 0.500, 0.000]],
  "e_form_raw_ev_per_atom": -0.327,
  "n_ef_per_ev_cell": 7.0,
  "final_energy_ev_per_atom": -1.603
}

Entry 2:
{
  "formula": "CaNd3O",
  "functional": "PBE",
  "state": "relaxed",
  "lattice_angstrom": [[5.148, 0.000, 0.000], [0.000, 5.148, 0.000], [0.000, 0.000, 5.148]],
  "species": ["Ca", "Nd", "Nd", "Nd", "O"],
  "fractional_positions": [[0.000, 0.000, 0.000], [0.000, 0.500, 0.500], [0.500, 0.000, 0.500], [0.500, 0.500, 0.000], [0.500, 0.500, 0.500]],
  "e_form_raw_ev_per_atom": -1.035,
  "n_ef_per_ev_cell": 5.8,
  "final_energy_ev_per_atom": -5.288
}

Entry 3:
{
  "formula": "Ac2MgI",
  "functional": "PBE",
  "state": "relaxed",
  "lattice_angstrom": [[3.903, 0.000, 0.000], [-1.951, 3.380, 0.000], [0.000, 0.000, 37.776]],
  "species": ["Ac", "Ac", "Ac", "Ac", "Ac", "Ac", "Mg", "Mg", "Mg", "I", "I", "I"],
  "fractional_positions": [[0.000, 0.000, 0.095], [0.000, 0.000, 0.905], [0.333, 0.667, 0.572], [0.333, 0.667, 0.761], [0.667, 0.333, 0.239], [0.667, 0.333, 0.428], [0.000, 0.000, 0.000], [0.333, 0.667, 0.667], [0.667, 0.333, 0.333], [0.000, 0.000, 0.500], [0.333, 0.667, 0.167], [0.667, 0.333, 0.833]],
  "e_form_raw_ev_per_atom": -0.132,
  "e_above_lowest_polymorph_mev_per_atom": 307,
  "n_ef_per_ev_cell": 17.0,
  "final_energy_ev_per_atom": -2.972
}

Entry 4:
{
  "formula": "Tb3Pr8Sm3",
  "functional": "PBE",
  "state": "relaxed",
  "lattice_angstrom": [[-2.876, 5.501, 7.741], [2.876, -5.501, 7.741], [2.876, 5.501, -7.741]],
  "species": ["Tb", "Tb", "Tb", "Pr", "Pr", "Pr", "Pr", "Pr", "Pr", "Pr", "Pr", "Sm", "Sm", "Sm"],
  "fractional_positions": [[0.000, 0.000, 0.000], [0.181, 0.681, 0.500], [0.819, 0.319, 0.500], [0.118, 0.275, 0.843], [0.233, 0.896, 0.337], [0.432, 0.275, 0.157], [0.441, 0.104, 0.337], [0.559, 0.896, 0.663], [0.568, 0.725, 0.843], [0.767, 0.104, 0.663], [0.882, 0.725, 0.157], [0.195, 0.500, 0.695], [0.500, 0.500, 0.000], [0.805, 0.500, 0.305]],
  "delta_e_f_ev_per_atom": 0.109,
  "n_ef_per_ev_cell": 17.5,
  "final_energy_ev_per_atom": -4.626
}

Entry 5:
{
  "formula": "BaTl3Pt3",
  "functional": "PBE",
  "state": "relaxed",
  "lattice_angstrom": [[7.598, 0.000, 0.000], [0.000, 7.598, 0.000], [0.000, 0.000, 7.598]],
  "species": ["Ba", "Ba", "Tl", "Tl", "Tl", "Tl", "Tl", "Tl", "Pt", "Pt", "Pt", "Pt", "Pt", "Pt"],
  "fractional_positions": [[0.000, 0.000, 0.000], [0.500, 0.500, 0.500], [0.000, 0.250, 0.500], [0.000, 0.750, 0.500], [0.250, 0.500, 0.000], [0.500, 0.000, 0.250], [0.500, 0.000, 0.750], [0.750, 0.500, 0.000], [0.000, 0.500, 0.250], [0.000, 0.500, 0.750], [0.250, 0.000, 0.500], [0.500, 0.250, 0.000], [0.500, 0.750, 0.000], [0.750, 0.000, 0.500]],
  "delta_e_f_ev_per_atom": -0.056,
  "n_ef_per_ev_cell": 6.2,
  "final_energy_ev_per_atom": -3.933
}

Entry 6:
{
  "formula": "Tm2Mg2Ni",
  "functional": "PBE",
  "state": "relaxed",
  "lattice_angstrom": [[3.373, 0.000, 0.000], [0.000, 3.373, 0.000], [0.000, 0.000, 19.940]],
  "species": ["Tm", "Tm", "Tm", "Tm", "Mg", "Mg", "Mg", "Mg", "Ni", "Ni"],
  "fractional_positions": [[0.000, 0.000, 0.080], [0.000, 0.000, 0.920], [0.500, 0.500, 0.420], [0.500, 0.500, 0.580], [0.000, 0.000, 0.300], [0.000, 0.000, 0.700], [0.500, 0.500, 0.200], [0.500, 0.500, 0.800], [0.000, 0.000, 0.500], [0.500, 0.500, 0.000]],
  "delta_e_f_ev_per_atom": -0.237,
  "n_ef_per_ev_cell": 6.0,
  "final_energy_ev_per_atom": -3.820
}

Entry 7:
{
  "formula": "Pm12ThSn7",
  "functional": "PBE",
  "state": "relaxed",
  "lattice_angstrom": [[7.839, 4.526, 2.953], [-7.839, 4.526, 2.953], [0.000, -9.052, 2.953]],
  "species": ["Pm", "Pm", "Pm", "Pm", "Pm", "Pm", "Pm", "Pm", "Pm", "Pm", "Pm", "Pm", "Th", "Sn", "Sn", "Sn", "Sn", "Sn", "Sn", "Sn"],
  "fractional_positions": [[0.000, 0.274, 0.726], [0.000, 0.726, 0.274], [0.161, 0.492, 0.492], [0.274, 0.000, 0.726], [0.274, 0.726, 0.000], [0.492, 0.161, 0.492], [0.492, 0.492, 0.161], [0.508, 0.508, 0.839], [0.508, 0.839, 0.508], [0.726, 0.000, 0.274], [0.726, 0.274, 0.000], [0.839, 0.508, 0.508], [0.000, 0.000, 0.000], [0.137, 0.137, 0.445], [0.137, 0.445, 0.137], [0.445, 0.137, 0.137], [0.500, 0.500, 0.500], [0.555, 0.863, 0.863], [0.863, 0.555, 0.863], [0.863, 0.863, 0.555]],
  "delta_e_f_ev_per_atom": -0.416,
  "n_ef_per_ev_cell": 20.1,
  "final_energy_ev_per_atom": -5.039
}

Entry 8:
{
  "formula": "TbBiPb",
  "functional": "PBE",
  "state": "relaxed",
  "lattice_angstrom": [[5.592, 0.000, 0.000], [-2.796, 4.843, 0.000], [0.000, 0.000, 3.377]],
  "species": ["Tb", "Bi", "Pb"],
  "fractional_positions": [[0.000, 0.000, 0.000], [0.667, 0.333, 0.497], [0.333, 0.667, 0.502]],
  "delta_e_f_ev_per_atom": -0.232,
  "e_above_lowest_polymorph_mev_per_atom": 91,
  "n_ef_per_ev_cell": 3.1,
  "final_energy_ev_per_atom": -4.305
}

Entry 9:
{
  "formula": "BeZn4",
  "functional": "PBE",
  "state": "relaxed",
  "lattice_angstrom": [[4.344, 0.000, 0.000], [0.000, 4.344, 0.000], [0.000, 0.000, 4.344]],
  "species": ["Be", "Zn", "Zn", "Zn", "Zn"],
  "fractional_positions": [[0.000, 0.000, 0.000], [0.000, 0.000, 0.500], [0.000, 0.500, 0.000], [0.500, 0.000, 0.000], [0.500, 0.500, 0.500]],
  "delta_e_f_ev_per_atom": 0.339,
  "e_above_lowest_polymorph_mev_per_atom": 188,
  "n_ef_per_ev_cell": 1.8,
  "final_energy_ev_per_atom": -1.426
}

Entry 10:
{
  "formula": "YSc6Al3",
  "functional": "PBE",
  "state": "relaxed",
  "lattice_angstrom": [[5.711, -5.800, 0.000], [5.711, 5.800, 0.000], [0.000, 0.000, 7.031]],
  "species": ["Y", "Y", "Sc", "Sc", "Sc", "Sc", "Sc", "Sc", "Sc", "Sc", "Sc", "Sc", "Sc", "Sc", "Al", "Al", "Al", "Al", "Al", "Al"],
  "fractional_positions": [[0.220, 0.780, 0.500], [0.780, 0.220, 0.000], [0.093, 0.490, 0.809], [0.174, 0.237, 0.496], [0.206, 0.794, 0.029], [0.237, 0.174, 0.996], [0.479, 0.521, 0.910], [0.490, 0.093, 0.309], [0.510, 0.907, 0.809], [0.521, 0.479, 0.410], [0.763, 0.826, 0.496], [0.794, 0.206, 0.529], [0.826, 0.763, 0.996], [0.907, 0.510, 0.309], [0.006, 0.994, 0.760], [0.235, 0.476, 0.191], [0.476, 0.235, 0.691], [0.524, 0.765, 0.191], [0.765, 0.524, 0.691], [0.994, 0.006, 0.260]],
  "delta_e_f_ev_per_atom": -0.147,
  "n_ef_per_ev_cell": 17.0,
  "final_energy_ev_per_atom": -5.715
}

Entry 11:
{
  "formula": "NaSr2AgBi",
  "functional": "PBE",
  "state": "relaxed",
  "lattice_angstrom": [[6.480, 0.000, 0.000], [0.000, 6.480, 0.000], [0.000, 0.000, 5.568]],
  "species": ["Na", "Sr", "Sr", "Ag", "Bi"],
  "fractional_positions": [[0.000, 0.000, 0.000], [0.000, 0.500, 0.500], [0.500, 0.000, 0.500], [0.500, 0.500, 0.000], [0.500, 0.500, 0.500]],
  "delta_e_f_ev_per_atom": -0.094,
  "n_ef_per_ev_cell": 4.1,
  "final_energy_ev_per_atom": -2.377
}

Entry 12:
{
  "formula": "BaZr2Cu",
  "functional": "PBE",
  "state": "relaxed",
  "lattice_angstrom": [[10.223, 0.000, 0.000], [0.000, 3.398, 0.000], [-1.277, 0.000, 6.569]],
  "species": ["Ba", "Ba", "Zr", "Zr", "Zr", "Zr", "Cu", "Cu"],
  "fractional_positions": [[0.000, 0.000, 0.000], [0.500, 0.500, 0.000], [0.034, 0.500, 0.516], [0.294, 0.500, 0.396], [0.534, 0.000, 0.516], [0.794, 0.000, 0.396], [0.250, 0.000, 0.688], [0.750, 0.500, 0.688]],
  "delta_e_f_ev_per_atom": 0.402,
  "e_above_lowest_polymorph_mev_per_atom": 258,
  "n_ef_per_ev_cell": 8.1,
  "final_energy_ev_per_atom": -5.377
}